[1]
VASP calculation (PBE) on crystalline SmZrIr2 at its relaxed geometry.

```
SmZrIr2
1.0
3.368 0.000 0.000
0.000 3.368 0.000
0.000 0.000 7.003
Ir Zr Sm
2 1 1
Direct
0.000 0.000 0.780 Ir
0.000 0.000 0.220 Ir
0.500 0.500 0.000 Zr
0.500 0.500 0.500 Sm
```

The total energy is -33.92 eV per cell. The value obtained for the total magnetic moment is 0.00 μB per atom. The space group is P4/mmm. As for the energy relative to the elements: -0.733 eV/atom. The calculation puts the density of states at the Fermi level at 0.64 states/eV per atom. The theoretical density is 13.09 g/cm3.

=====

[2]
VASP calculation (PBE) on crystalline CrHWAu at its relaxed geometry.

```
CrHWAu
1.0
2.850 0.000 -0.010
0.000 3.929 -0.003
-1.112 -1.961 4.330
Cr H W Au
1 1 1 1
Direct
0.774 0.405 0.384 Cr
0.166 0.290 0.155 H
0.020 0.750 0.074 W
0.402 0.065 0.704 Au
```

The total energy is -27.98 eV per cell. The value obtained for the total magnetic moment is 0.22 μB per atom. The space group is Cm. The calculation puts the density of states at the Fermi level at 0.68 states/eV per atom. The theoretical density is 14.88 g/cm3.

=====

[3]
VASP calculation (PBE) on crystalline LiPt3W at its relaxed geometry.

```
LiPt3W
1.0
-0.449 4.006 -1.194
-3.984 -0.047 1.343
1.266 1.274 3.801
W Pt Li
1 3 1
Direct
0.500 0.500 0.500 W
0.000 0.500 0.000 Pt
0.000 0.000 0.500 Pt
0.500 0.000 0.000 Pt
0.000 0.000 0.000 Li
```

The total energy is -29.71 eV per cell. The value obtained for the total magnetic moment is 0.02 μB per atom. The space group is Pm-3m. As for the energy relative to the elements: 0.656 eV/atom. The calculation puts the density of states at the Fermi level at 2.57 states/eV per atom. The theoretical density is 17.34 g/cm3.

=====

[4]
VASP calculation (PBE) on crystalline CsCu2RhCl8 at its relaxed geometry.

```
CsCu2RhCl8
1.0
-5.785 3.540 1.329
-5.299 -3.103 3.172
-0.277 2.663 9.672
Cs Cu Rh Cl
1 2 1 8
Direct
0.000 0.000 0.000 Cs
0.760 0.760 0.721 Cu
0.240 0.240 0.279 Cu
0.500 0.500 0.500 Rh
0.681 0.681 0.958 Cl
0.319 0.319 0.042 Cl
0.446 0.357 0.338 Cl
0.643 0.554 0.662 Cl
0.141 0.643 0.662 Cl
0.357 0.859 0.338 Cl
0.859 0.446 0.338 Cl
0.554 0.141 0.662 Cl
```

The total energy is -39.25 eV per cell. The value obtained for the total magnetic moment is 0.16 μB per atom. The space group is R32. The calculation puts the density of states at the Fermi level at 0.93 states/eV per atom. The theoretical density is 2.82 g/cm3.